# CrSi2Hg | Alexandria via LeMat-Bulk | SCAN | single point on PBEsol structure
data_CrSi2Hg
_chemical_formula_sum 'Cr1 Si2 Hg1'
_symmetry_space_group_name_H-M 'P 4/m m m'
_symmetry_Int_Tables_number 123
_symmetry_space_group_name_Hall '-P 4 2'
_cell_length_a 2.973
_cell_length_b 2.973
_cell_length_c 7.008
_cell_angle_alpha 90.00
_cell_angle_beta 90.00
_cell_angle_gamma 90.00
loop_
_atom_site_label
_atom_site_type_symbol
_atom_site_fract_x
_atom_site_fract_y
_atom_site_fract_z
Cr1 Cr 0.000 0.000 0.000
Si1 Si 0.500 0.500 0.177
Hg1 Hg 0.000 0.000 0.500
# raw formation energy = 0.359 eV per atom
# final energy = -26.2866 eV per atom
# DOS at the Fermi energy = 2.2 states/eV per cell
# calculated volume = 15.49 Å³ per atom